# 1
Entry from Alexandria via LeMat-Bulk: a relaxed GaReAuBr2 crystal (PBE).

Calculated values
formation energy (no corrections)	25.57	kcal/mol of atoms

Unit cell a=5.4384 b=5.4384 c=4.9826 alpha=90.00 beta=90.00 gamma=90.00
Sites, in units of the cell vectors:
Ga 0.0000 0.0000 0.0000
Re 0.5000 0.5000 0.5000
Au 0.0000 0.0000 0.5000
Br 0.0000 0.5000 0.0000
Br 0.5000 0.0000 0.0000


# 2
Entry from Alexandria via LeMat-Bulk: a relaxed GaRhAu2Br crystal (PBE).

Calculated values
formation energy (no corrections)	11.10	kcal/mol of atoms

Unit cell a=5.1372 b=5.1372 c=4.7302 alpha=90.00 beta=90.00 gamma=90.00
Sites, in units of the cell vectors:
Ga 0.0000 0.0000 0.0000
Rh 0.0000 0.0000 0.5000
Au 0.0000 0.5000 0.5000
Au 0.5000 0.0000 0.5000
Br 0.5000 0.5000 0.0000


# 3
Entry from Alexandria via LeMat-Bulk: a relaxed GaSb2AuBr crystal (PBE).

Calculated values
formation energy (no corrections)	9.40	kcal/mol of atoms

Unit cell a=5.4455 b=5.4455 c=4.8735 alpha=90.00 beta=90.00 gamma=90.00
Sites, in units of the cell vectors:
Ga 0.0000 0.0000 0.0000
Sb 0.0000 0.5000 0.0000
Sb 0.5000 0.0000 0.0000
Au 0.0000 0.0000 0.5000
Br 0.5000 0.5000 0.5000


# 4
Entry from Alexandria via LeMat-Bulk: a relaxed Sc2GaAuBr crystal (PBE).

Calculated values
formation energy (no corrections)	4.00	kcal/mol of atoms

Unit cell a=4.9568 b=4.9568 c=5.0409 alpha=90.00 beta=90.00 gamma=90.00
Sites, in units of the cell vectors:
Sc 0.0000 0.5000 0.0000
Sc 0.5000 0.0000 0.0000
Ga 0.0000 0.0000 0.5000
Au 0.5000 0.5000 0.5000
Br 0.5000 0.5000 0.0000